A plane-wave DFT calculation with PBE was carried out for crystalline HgAsS2I at its relaxed geometry.

Calculated values
Magnetic moment: 0.0 μB/f.u.
E_form (uncorrected): -0.15 eV per atom

Unit cell a=7.2574 b=5.1755 c=8.6460 alpha=90.00 beta=92.97 gamma=90.00
Last column: nearest neighbours and their distance in Å.
Space group P2_1/m (No. 11)
Inequivalent atoms, fractional coordinates:
Hg1 0.2341 0.2500 0.4926 x2  1 S 2.41, 1 I 2.68
As1 0.1177 0.2500 0.9055 x2  2 S 2.24-2.28
S1 0.0195 0.7500 0.3382 x2  1 As 2.28, 1 Hg 2.41
S2 0.1447 0.7500 0.9685 x2  1 As 2.24
I1 0.4991 0.7500 0.7097 x2  1 Hg 2.68